First-principles (PBE) data for a relaxed structure of Pr2P4Ir3, as listed in Alexandria via LeMat-Bulk.

Calculated values
Energy of formation, eV/atom: -0.76
Final energy, eV/atom: -7.1850

a b c (Å): 5.679 5.679 6.690
angles (deg): 101.84 101.84 121.10
Fractional coordinates of all 9 atoms:
1 P 0.308 0.987 0.295
2 Ir 0.500 0.000 0.000
3 P 0.692 0.013 0.705
4 Pr 0.355 0.355 0.710
5 P 0.987 0.308 0.295
6 Pr 0.645 0.645 0.290
7 Ir 0.000 0.000 0.000
8 Ir 0.000 0.500 0.000
9 P 0.013 0.692 0.705